ScWCl PBE optimized geometry; ΔE_f (raw) = 2.82 eV per formula unit; D(E_F) = 3.65 states/eV per cell; spin magnetization = 0.361 μB per atom; symmetry = F-43m (216); energy relative to the lowest polymorph listed for this composition = 1031.5 meV/atom
1.0
-1.8700 2.4901 -2.9595
-3.0036 -1.6379 -2.5984
-4.1083 1.1686 0.4609
Cl Sc W
1 1 1
Cartesian
-2.2455 0.5052 -1.2743
0.0000 0.0000 0.0000
-4.4909 1.0103 -2.5485